Record 1
Density functional theory data (GGA-PBE) for an optimized crystal structure of K2VPd.

Lattice parameters (Å, degrees): 5.553 5.553 5.553 60.00 60.00 60.00
Fractional coordinates of all 4 atoms:
K 0.250 0.250 0.250
K 0.750 0.750 0.750
V 0.000 0.000 0.000
Pd 0.500 0.500 0.500

Values from the calculation:
energy of formation from the pure elements	3.99	eV/f.u.
magnetization	4.6	μB per cell
final energy	-0.115	Ha/atom
theoretical density	3.23	g/cm³

=====

Record 2
Density functional theory data (GGA-PBE) for an optimized crystal structure of TlTcAg2.

Lattice parameters (Å, degrees): 5.714 5.714 5.714 149.64 127.65 61.72
Fractional coordinates of all 4 atoms:
Tl 0.000 0.000 0.000
Tc 0.249 0.749 0.500
Ag 0.496 0.496 0.000
Ag 0.744 0.244 0.500

Values from the calculation:
energy of formation from the pure elements	2.57	eV/f.u.
magnetization	0.0	μB per cell
final energy	-0.146	Ha/atom
theoretical density	11.63	g/cm³

=====

Record 3
Density functional theory data (GGA-PBE) for an optimized crystal structure of LiGaBiPt2.

Lattice parameters (Å, degrees): 4.735 4.735 4.534 90.00 90.00 90.00
Fractional coordinates of all 5 atoms:
Li 0.000 0.000 0.000
Ga 0.000 0.000 0.500
Bi 0.500 0.500 0.000
Pt 0.000 0.500 0.500
Pt 0.500 0.000 0.500

Values from the calculation:
energy of formation from the pure elements	-0.20	eV/f.u.
magnetization	0.0	μB per cell
final energy	-0.155	Ha/atom
theoretical density	11.04	g/cm³

=====

Record 4
Density functional theory data (GGA-PBE) for an optimized crystal structure of Ag2RhAu.

Lattice parameters (Å, degrees): 5.662 5.662 5.662 150.82 128.71 60.10
Fractional coordinates of all 4 atoms:
Ag 0.000 0.000 0.000
Ag 0.744 0.244 0.500
Rh 0.248 0.748 0.500
Au 0.489 0.489 0.000

Values from the calculation:
energy of formation from the pure elements	0.79	eV/f.u.
magnetization	0.4	μB per cell
final energy	-0.143	Ha/atom
theoretical density	12.50	g/cm³

=====

Record 5
Density functional theory data (GGA-PBE) for an optimized crystal structure of Sm3TmCu2.

Lattice parameters (Å, degrees): 4.973 8.858 6.927 90.00 90.00 90.00
Fractional coordinates of all 12 atoms:
Sm 0.000 0.078 0.000
Sm 0.000 0.340 0.363
Sm 0.000 0.660 0.863
Sm 0.000 0.922 0.500
Sm 0.500 0.165 0.654
Sm 0.500 0.835 0.154
Tm 0.500 0.426 0.020
Tm 0.500 0.574 0.520
Cu 0.000 0.350 0.773
Cu 0.000 0.650 0.273
Cu 0.500 0.157 0.244
Cu 0.500 0.843 0.744

Values from the calculation:
energy of formation from the pure elements	-0.77	eV/f.u.
magnetization	0.0	μB per cell
final energy	-0.169	Ha/atom
theoretical density	8.13	g/cm³

=====

Record 6
Density functional theory data (GGA-PBE) for an optimized crystal structure of TaGeTe4.

Lattice parameters (Å, degrees): 11.310 11.310 8.224 109.95 109.95 27.15
Fractional coordinates of all 12 atoms:
Ta 0.177 0.177 0.294
Ta 0.823 0.823 0.706
Ge 0.164 0.164 0.774
Ge 0.836 0.836 0.226
Te 0.085 0.085 0.436
Te 0.088 0.088 0.979
Te 0.282 0.282 0.638
Te 0.283 0.283 0.158
Te 0.717 0.717 0.842
Te 0.718 0.718 0.362
Te 0.912 0.912 0.021
Te 0.915 0.915 0.564

Values from the calculation:
formation energy from raw total energies	-0.0598	eV per atom
magnetization	0.0	μB per cell
final energy	-0.180	Ha/atom
theoretical density	5.64	g/cm³

=====

Record 7
Density functional theory data (GGA-PBE) for an optimized crystal structure of CaPm2Pr6Y.

Lattice parameters (Å, degrees): 9.147 9.147 10.037 94.58 94.58 118.97
Fractional coordinates of all 20 atoms:
Ca 0.098 0.902 0.750
Ca 0.902 0.098 0.250
Pm 0.199 0.299 0.958
Pm 0.299 0.199 0.458
Pm 0.701 0.801 0.542
Pm 0.801 0.701 0.042
Pr 0.004 0.217 0.623
Pr 0.075 0.529 0.178
Pr 0.217 0.004 0.123
Pr 0.266 0.620 0.552
Pr 0.380 0.734 0.948
Pr 0.471 0.925 0.322
Pr 0.529 0.075 0.678
Pr 0.620 0.266 0.052
Pr 0.734 0.380 0.448
Pr 0.783 0.996 0.877
Pr 0.925 0.471 0.822
Pr 0.996 0.783 0.377
Y 0.476 0.524 0.250
Y 0.524 0.476 0.750

Values from the calculation:
energy of formation from the pure elements	1.19	eV/f.u.
magnetization	0.0	μB per cell
final energy	-0.167	Ha/atom
theoretical density	5.79	g/cm³

=====

Record 8
Density functional theory data (GGA-PBE) for an optimized crystal structure of PH2F.

Lattice parameters (Å, degrees): 3.422 5.393 5.549 85.51 89.84 72.97
Fractional coordinates of all 8 atoms:
P 0.000 0.000 0.000
P 0.412 0.189 0.183
H 0.284 0.464 0.163
H 0.455 0.095 0.431
H 0.682 0.650 0.607
H 0.912 0.195 0.804
F 0.564 0.864 0.711
F 0.778 0.480 0.516

Values from the calculation:
magnetization	0.0	μB per cell
final energy	-0.156	Ha/atom
theoretical density	1.77	g/cm³

=====

Record 9
Density functional theory data (GGA-PBE) for an optimized crystal structure of BaAl2Ga2.

Lattice parameters (Å, degrees): 6.470 6.468 4.515 69.60 69.55 40.85
Fractional coordinates of all 5 atoms:
Ba 0.000 0.000 0.000
Al 0.250 0.250 0.250
Al 0.750 0.750 0.750
Ga 0.380 0.380 0.620
Ga 0.620 0.620 0.380

Values from the calculation:
energy of formation from the pure elements	-1.88	eV/f.u.
magnetization	0.0	μB per cell
final energy	-0.127	Ha/atom
theoretical density	4.79	g/cm³

=====

Record 10
Density functional theory data (GGA-PBE) for an optimized crystal structure of TlAgHgI2.

Lattice parameters (Å, degrees): 5.938 5.938 5.514 90.00 90.00 90.00
Fractional coordinates of all 5 atoms:
Tl 0.000 0.000 0.000
Ag 0.500 0.500 0.500
Hg 0.500 0.500 0.000
I 0.000 0.500 0.500
I 0.500 0.000 0.500

Values from the calculation:
formation energy from raw total energies	-0.2434	eV per atom
magnetization	0.0	μB per cell
final energy	-0.072	Ha/atom
theoretical density	6.55	g/cm³

=====

Record 11
Density functional theory data (GGA-PBE) for an optimized crystal structure of NiSnBRu2.

Lattice parameters (Å, degrees): 4.164 4.164 3.881 90.00 90.00 90.00
Fractional coordinates of all 5 atoms:
Ni 0.000 0.000 0.000
Sn 0.500 0.500 0.000
B 0.000 0.000 0.500
Ru 0.000 0.500 0.500
Ru 0.500 0.000 0.500

Values from the calculation:
energy of formation from the pure elements	-0.64	eV/f.u.
magnetization	0.3	μB per cell
final energy	-0.262	Ha/atom
theoretical density	9.63	g/cm³

=====

Record 12
Density functional theory data (GGA-PBE) for an optimized crystal structure of NpInHgAu.

Lattice parameters (Å, degrees): 5.085 5.085 5.085 60.00 60.00 60.00
Fractional coordinates of all 4 atoms:
Np 0.000 0.000 0.000
In 0.500 0.500 0.500
Hg 0.250 0.250 0.250
Au 0.750 0.750 0.750

Values from the calculation:
energy of formation from the pure elements	-0.26	eV/f.u.
magnetization	4.2	μB per cell
final energy	-0.179	Ha/atom
theoretical density	13.38	g/cm³

=====

Record 13
Density functional theory data (GGA-PBE) for an optimized crystal structure of KIn3Pb9.

Lattice parameters (Å, degrees): 8.790 8.790 8.676 97.09 97.09 137.91
Fractional coordinates of all 13 atoms:
K 0.000 0.000 0.000
In 0.000 0.500 0.000
In 0.500 0.000 0.000
In 0.500 0.500 0.500
Pb 0.000 0.000 0.500
Pb 0.000 0.359 0.355
Pb 0.000 0.641 0.645
Pb 0.287 0.505 0.786
Pb 0.359 0.000 0.355
Pb 0.495 0.713 0.214
Pb 0.505 0.287 0.786
Pb 0.641 0.000 0.645
Pb 0.713 0.495 0.214

Values from the calculation:
energy of formation from the pure elements	-0.26	eV/f.u.
magnetization	0.0	μB per cell
final energy	-0.121	Ha/atom
theoretical density	8.85	g/cm³

=====

Record 14
Density functional theory data (GGA-PBE) for an optimized crystal structure of SrGa2Sn.

Lattice parameters (Å, degrees): 5.914 5.914 3.491 90.00 90.00 121.69
Fractional coordinates of all 4 atoms:
Sr 0.000 0.000 0.000
Ga 0.000 0.500 0.500
Ga 0.500 0.000 0.500
Sn 0.500 0.500 0.500

Values from the calculation:
energy of formation from the pure elements	-0.95	eV/f.u.
magnetization	0.0	μB per cell
final energy	-0.117	Ha/atom
theoretical density	5.53	g/cm³

=====

Record 15
Density functional theory data (GGA-PBE) for an optimized crystal structure of Pr2PuSb3.

Lattice parameters (Å, degrees): 7.821 7.821 7.813 99.60 99.60 119.99
Fractional coordinates of all 12 atoms:
Pr 0.000 0.000 0.000
Pr 0.164 0.836 0.500
Pr 0.500 0.500 0.500
Pr 0.836 0.164 0.500
Pu 0.333 0.667 0.000
Pu 0.667 0.333 0.000
Sb 0.081 0.421 0.243
Sb 0.259 0.259 0.758
Sb 0.421 0.081 0.243
Sb 0.579 0.919 0.757
Sb 0.741 0.741 0.242
Sb 0.919 0.579 0.757

Values from the calculation:
formation energy from raw total energies	-0.9860	eV per atom
magnetization	10.1	μB per cell
final energy	-0.258	Ha/atom
theoretical density	7.58	g/cm³

=====

Record 16
Density functional theory data (GGA-PBE) for an optimized crystal structure of Ba2PmMgO5.

Lattice parameters (Å, degrees): 7.498 7.498 11.379 90.00 90.00 151.51
Fractional coordinates of all 18 atoms:
Ba 0.115 0.885 0.500
Ba 0.129 0.871 0.114
Ba 0.871 0.129 0.614
Ba 0.885 0.115 0.000
Pm 0.200 0.800 0.821
Pm 0.800 0.200 0.321
Mg 0.494 0.506 0.291
Mg 0.506 0.494 0.791
O 0.038 0.962 0.850
O 0.294 0.706 0.453
O 0.322 0.678 0.183
O 0.362 0.638 0.803
O 0.489 0.511 0.114
O 0.511 0.489 0.614
O 0.638 0.362 0.303
O 0.678 0.322 0.683
O 0.706 0.294 0.953
O 0.962 0.038 0.350

Values from the calculation:
formation energy from raw total energies	-2.5520	eV per atom
magnetization	2.0	μB per cell
final energy	-0.237	Ha/atom
theoretical density	5.70	g/cm³

=====

Record 17
Density functional theory data (GGA-PBE) for an optimized crystal structure of ZrCu2Ni.

Lattice parameters (Å, degrees): 2.739 4.298 4.987 90.00 102.75 90.00
Fractional coordinates of all 4 atoms:
Zr 0.000 0.000 0.000
Cu 0.336 0.500 0.722
Cu 0.664 0.500 0.278
Ni 0.500 0.000 0.500

Values from the calculation:
energy of formation from the pure elements	-0.17	eV/f.u.
magnetization	0.0	μB per cell
final energy	-0.209	Ha/atom
theoretical density	8.03	g/cm³

=====

Record 18
Density functional theory data (GGA-PBE) for an optimized crystal structure of La2MoC.

Lattice parameters (Å, degrees): 7.412 7.412 7.412 94.35 94.35 148.03
Fractional coordinates of all 8 atoms:
La 0.375 0.049 0.174
La 0.799 0.625 0.674
La 0.875 0.201 0.826
La 0.951 0.125 0.326
Mo 0.250 0.750 0.500
Mo 0.500 0.500 0.000
C 0.000 0.000 0.000
C 0.750 0.250 0.500

Values from the calculation:
energy of formation from the pure elements	0.75	eV/f.u.
magnetization	0.0	μB per cell
final energy	-0.268	Ha/atom
theoretical density	6.18	g/cm³

=====

Record 19
Density functional theory data (GGA-PBE) for an optimized crystal structure of BaNa4Li.

Lattice parameters (Å, degrees): 10.271 10.271 6.506 108.36 108.36 47.41
Fractional coordinates of all 12 atoms:
Ba 0.216 0.216 0.214
Ba 0.784 0.784 0.786
Na 0.105 0.685 0.396
Na 0.192 0.808 0.000
Na 0.315 0.895 0.604
Na 0.340 0.340 0.837
Na 0.660 0.660 0.163
Na 0.685 0.105 0.396
Na 0.808 0.192 0.000
Na 0.895 0.315 0.604
Li 0.499 0.499 0.272
Li 0.501 0.501 0.728

Values from the calculation:
energy of formation from the pure elements	0.35	eV/f.u.
magnetization	0.0	μB per cell
final energy	-0.054	Ha/atom
theoretical density	1.65	g/cm³

=====

Record 20
Density functional theory data (GGA-PBE) for an optimized crystal structure of LaTcRh3.

Lattice parameters (Å, degrees): 4.785 4.785 4.785 90.00 90.00 90.00
Fractional coordinates of all 5 atoms:
La 0.000 0.000 0.000
Tc 0.500 0.500 0.500
Rh 0.000 0.000 0.500
Rh 0.000 0.500 0.000
Rh 0.500 0.000 0.000

Values from the calculation:
energy of formation from the pure elements	8.59	eV/f.u.
magnetization	0.0	μB per cell
final energy	-0.211	Ha/atom
theoretical density	8.27	g/cm³

=====

Record 21
Density functional theory data (GGA-PBE) for an optimized crystal structure of SmEu2Mg.

Lattice parameters (Å, degrees): 12.040 12.040 12.040 17.67 17.67 17.67
Fractional coordinates of all 4 atoms:
Sm 0.000 0.000 0.000
Eu 0.246 0.246 0.246
Eu 0.754 0.754 0.754
Mg 0.500 0.500 0.500

Values from the calculation:
energy of formation from the pure elements	0.26	eV/f.u.
magnetization	15.2	μB per cell
final energy	-0.244	Ha/atom
theoretical density	5.66	g/cm³

=====

Record 22
Density functional theory data (GGA-PBE) for an optimized crystal structure of CaInBr.

Lattice parameters (Å, degrees): 5.105 5.105 4.243 90.00 90.00 120.00
Fractional coordinates of all 3 atoms:
Ca 0.000 0.000 0.000
In 0.667 0.333 0.500
Br 0.333 0.667 0.000

Values from the calculation:
formation energy from raw total energies	-0.6491	eV per atom
magnetization	0.0	μB per cell
final energy	-0.102	Ha/atom
theoretical density	4.07	g/cm³

=====

Record 23
Density functional theory data (GGA-PBE) for an optimized crystal structure of Ag2Pb4I9.

Lattice parameters (Å, degrees): 7.725 8.019 24.152 84.01 81.79 61.55
Fractional coordinates of all 30 atoms:
Ag 0.227 0.377 0.367
Ag 0.261 0.496 0.196
Ag 0.739 0.504 0.804
Ag 0.773 0.623 0.633
Pb 0.017 0.156 0.169
Pb 0.179 0.170 0.991
Pb 0.242 0.843 0.497
Pb 0.409 0.247 0.678
Pb 0.591 0.753 0.322
Pb 0.758 0.157 0.503
Pb 0.821 0.830 0.009
Pb 0.983 0.844 0.831
I 0.081 0.165 0.772
I 0.137 0.464 0.087
I 0.159 0.561 0.587
I 0.200 0.738 0.375
I 0.221 0.802 0.936
I 0.267 0.173 0.264
I 0.385 0.514 0.779
I 0.417 0.863 0.083
I 0.482 0.956 0.585
I 0.518 0.044 0.415
I 0.583 0.137 0.917
I 0.615 0.486 0.221
I 0.733 0.827 0.736
I 0.779 0.198 0.064
I 0.800 0.262 0.625
I 0.841 0.439 0.413
I 0.863 0.536 0.913
I 0.919 0.835 0.228

Values from the calculation:
formation energy from raw total energies	-0.4444	eV per atom
magnetization	0.0	μB per cell
final energy	-0.101	Ha/atom
theoretical density	5.58	g/cm³

=====

Record 24
Density functional theory data (GGA-PBE) for an optimized crystal structure of BaRe2Rh2.

Lattice parameters (Å, degrees): 7.305 7.305 7.305 149.83 149.83 43.19
Fractional coordinates of all 5 atoms:
Ba 0.000 0.000 0.000
Re 0.250 0.750 0.500
Re 0.750 0.250 0.500
Rh 0.387 0.387 0.000
Rh 0.613 0.613 0.000

Values from the calculation:
energy of formation from the pure elements	2.10	eV/f.u.
magnetization	0.0	μB per cell
final energy	-0.290	Ha/atom
theoretical density	12.10	g/cm³